The following is a DFT calculation (meta-GGA SCAN) of a PBEsol-optimized structure of MnZn2Co.

Total DFT energy (no corrections) in eV/cell: -63.14

a = 4.092 Å, b = 4.092 Å, c = 4.092 Å
α = 60.00°, β = 60.00°, γ = 60.00°
Element x y z (fractional)
Mn  0.250  0.250  0.250
Co  0.500  0.500  0.500
Zn  0.000  0.000  0.000
Zn  0.750  0.750  0.750

---

The following is a DFT calculation (meta-GGA SCAN) of a PBEsol-optimized structure of AlNiIr2.

Total DFT energy (no corrections) in eV/cell: -167.22

a = 2.688 Å, b = 4.635 Å, c = 5.032 Å
α = 116.71°, β = 104.37°, γ = 92.37°
Element x y z (fractional)
Ir  0.500  0.500  0.500
Ir  0.000  0.000  0.500
Ni  0.000  0.500  0.000
Al  0.500  0.000  0.000

---

The following is a DFT calculation (meta-GGA SCAN) of a PBEsol-optimized structure of CaYTl.

Total DFT energy (no corrections) in eV/cell: -446.24

a = 5.302 Å, b = 6.874 Å, c = 9.235 Å
α = 90.00°, β = 90.00°, γ = 90.00°
Element x y z (fractional)
Ca  0.750  0.993  0.227
Ca  0.250  0.507  0.727
Ca  0.250  0.007  0.773
Ca  0.750  0.493  0.273
Y  0.750  0.785  0.582
Y  0.250  0.215  0.418
Y  0.750  0.285  0.918
Y  0.250  0.715  0.082
Tl  0.750  0.753  0.914
Tl  0.250  0.247  0.086
Tl  0.250  0.747  0.414
Tl  0.750  0.253  0.586

---

The following is a DFT calculation (meta-GGA SCAN) of a PBEsol-optimized structure of YSbF2.

Formation energy (no corrections) in eV/atom: -1.7744

a = 4.557 Å, b = 4.557 Å, c = 4.557 Å
α = 60.00°, β = 60.00°, γ = 60.00°
Element x y z (fractional)
F  0.250  0.250  0.250
F  0.750  0.750  0.750
Sb  0.500  0.500  0.500
Y  0.000  0.000  0.000

---

The following is a DFT calculation (meta-GGA SCAN) of a PBEsol-optimized structure of GaCoSe3.

Formation energy (no corrections) in eV/atom: 0.3318

a = 4.668 Å, b = 4.668 Å, c = 4.668 Å
α = 90.00°, β = 90.00°, γ = 90.00°
Element x y z (fractional)
Se  0.000  0.500  0.000
Se  0.000  0.000  0.500
Se  0.500  0.000  0.000
Co  0.000  0.000  0.000
Ga  0.500  0.500  0.500

---

The following is a DFT calculation (meta-GGA SCAN) of a PBEsol-optimized structure of CrCu2Rh.

Total DFT energy (no corrections) in eV/cell: -82.16

a = 4.143 Å, b = 4.143 Å, c = 4.143 Å
α = 60.00°, β = 60.00°, γ = 60.00°
Element x y z (fractional)
Cu  0.750  0.750  0.750
Cu  0.250  0.250  0.250
Rh  0.500  0.500  0.500
Cr  0.000  0.000  0.000

---

The following is a DFT calculation (meta-GGA SCAN) of a PBEsol-optimized structure of Cr2CuAg.

Total DFT energy (no corrections) in eV/cell: -80.98

a = 2.499 Å, b = 2.499 Å, c = 8.081 Å
α = 90.00°, β = 90.00°, γ = 89.95°
Element x y z (fractional)
Cr  0.000  0.000  0.269
Cr  0.000  0.000  0.731
Cu  0.500  0.500  0.500
Ag  0.500  0.500  0.000

---

The following is a DFT calculation (meta-GGA SCAN) of a PBEsol-optimized structure of LaPt2Pb.

Total DFT energy (no corrections) in eV/cell: -262.77

a = 4.058 Å, b = 4.268 Å, c = 5.579 Å
α = 90.00°, β = 111.33°, γ = 90.00°
Element x y z (fractional)
Pt  0.040  0.500  0.079
Pt  0.209  0.000  0.419
La  0.484  0.000  0.968
Pb  0.767  0.500  0.534

---

The following is a DFT calculation (meta-GGA SCAN) of a PBEsol-optimized structure of MoPb2Br.

Formation energy (no corrections) in eV/atom: 0.5018

a = 3.106 Å, b = 5.452 Å, c = 5.452 Å
α = 90.00°, β = 90.00°, γ = 90.00°
Element x y z (fractional)
Pb  0.000  0.500  0.000
Pb  0.000  0.000  0.500
Mo  0.500  0.000  0.000
Br  0.500  0.500  0.500

---

The following is a DFT calculation (meta-GGA SCAN) of a PBEsol-optimized structure of Ta2NiAu.

Total DFT energy (no corrections) in eV/cell: -219.32

a = 3.181 Å, b = 3.287 Å, c = 5.988 Å
α = 90.00°, β = 90.00°, γ = 90.00°
Element x y z (fractional)
Ta  0.000  0.000  0.967
Ta  0.500  0.500  0.259
Au  0.000  0.000  0.515
Ni  0.500  0.500  0.759

---

The following is a DFT calculation (meta-GGA SCAN) of a PBEsol-optimized structure of Zr2TiNbCu.

Total DFT energy (no corrections) in eV/cell: -122.39

a = 4.427 Å, b = 4.845 Å, c = 4.845 Å
α = 90.00°, β = 90.00°, γ = 90.00°
Element x y z (fractional)
Nb  0.500  0.500  0.500
Cu  0.000  0.000  0.000
Ti  0.500  0.000  0.000
Zr  0.000  0.000  0.500
Zr  0.000  0.500  0.000

---

The following is a DFT calculation (meta-GGA SCAN) of a PBEsol-optimized structure of CsTi2Se2.

Formation energy (no corrections) in eV/atom: -1.0817

a = 3.984 Å, b = 3.984 Å, c = 8.156 Å
α = 104.14°, β = 104.14°, γ = 90.00°
Element x y z (fractional)
Se  0.645  0.645  0.289
Se  0.355  0.355  0.711
Ti  0.750  0.250  0.500
Ti  0.250  0.750  0.500
Cs  0.000  0.000  0.000